VASP calculation (PBE) on Ca2TiSi2Rh5 after structural relaxation.

a b c (Å): 3.2858 9.9701 9.9701
angles (deg): 90.00 90.00 90.00
Fractional positions:
1 Ca 0.0000 0.6731 0.1731
2 Ca 0.0000 0.3269 0.8269
3 Ca 0.0000 0.1731 0.3269
4 Ca 0.0000 0.8269 0.6731
5 Ti 0.0000 0.0000 0.0000
6 Ti 0.0000 0.5000 0.5000
7 Si 0.0000 0.1263 0.6263
8 Si 0.0000 0.8737 0.3737
9 Si 0.0000 0.6263 0.8737
10 Si 0.0000 0.3737 0.1263
11 Rh 0.5000 0.2077 0.0677
12 Rh 0.5000 0.7923 0.9323
13 Rh 0.5000 0.0677 0.7923
14 Rh 0.5000 0.7077 0.4323
15 Rh 0.5000 0.9323 0.2077
16 Rh 0.5000 0.2923 0.5677
17 Rh 0.5000 0.5677 0.7077
18 Rh 0.5000 0.4323 0.2923
19 Rh 0.5000 0.5000 0.0000
20 Rh 0.5000 0.0000 0.5000

Output
spin magnetization	0.000	μB/atom
raw formation energy	-0.783	eV per atom

***

VASP calculation (PBE) on CaTl2SiRh after structural relaxation.

a b c (Å): 5.7863 4.7480 5.7863
angles (deg): 90.00 90.00 90.00
Fractional positions:
1 Si 0.5000 0.5000 0.5000
2 Tl 0.0000 0.0000 0.5000
3 Tl 0.5000 0.0000 0.0000
4 Rh 0.0000 0.5000 0.0000
5 Ca 0.0000 0.0000 0.0000

Output
spin magnetization	0.000	μB/atom
raw formation energy	1.101	eV per atom

***

VASP calculation (PBE) on CaTlSiRh2 after structural relaxation.

a b c (Å): 4.9860 5.4842 4.9860
angles (deg): 90.00 90.00 90.00
Fractional positions:
1 Si 0.5000 0.5000 0.5000
2 Tl 0.0000 0.0000 0.0000
3 Rh 0.0000 0.0000 0.5000
4 Rh 0.5000 0.0000 0.0000
5 Ca 0.0000 0.5000 0.0000

Output
spin magnetization	0.000	μB/atom
raw formation energy	1.148	eV per atom

***

VASP calculation (PBE) on Ca2TmSi2Rh5 after structural relaxation.

a b c (Å): 3.3641 10.1973 10.1973
angles (deg): 90.00 90.00 90.00
Fractional positions:
1 Ca 0.0000 0.6739 0.1739
2 Ca 0.0000 0.3261 0.8261
3 Ca 0.0000 0.1739 0.3261
4 Ca 0.0000 0.8261 0.6739
5 Tm 0.0000 0.0000 0.0000
6 Tm 0.0000 0.5000 0.5000
7 Si 0.0000 0.1237 0.6237
8 Si 0.0000 0.8763 0.3763
9 Si 0.0000 0.6237 0.8763
10 Si 0.0000 0.3763 0.1237
11 Rh 0.5000 0.2199 0.0698
12 Rh 0.5000 0.7801 0.9302
13 Rh 0.5000 0.0698 0.7801
14 Rh 0.5000 0.7199 0.4302
15 Rh 0.5000 0.9302 0.2199
16 Rh 0.5000 0.2801 0.5698
17 Rh 0.5000 0.5698 0.7199
18 Rh 0.5000 0.4302 0.2801
19 Rh 0.5000 0.5000 0.0000
20 Rh 0.5000 0.0000 0.5000

Output
spin magnetization	0.000	μB/atom
raw formation energy	-0.847	eV per atom

***

Computed mass density (Mg/m³) in order:
7.10; 6.06; 5.83; 7.78
Computed total energy (eV/atom) in order:
-6.7332; -2.8011; -3.7504; -6.4550